(1)
## SmTm4Cd4 (GGA-PBE)

Data for an optimized crystal structure of SmTm4Cd4.

a b c (Å): 5.484 9.461 9.461
angles (deg): 90.00 90.00 90.00
Positions (direct):
Sm: 0.500 0.500 0.500
Tm: 0.437 0.575 0.150
Cd: 0.061 0.702 0.606
Tm: 0.563 0.850 0.575
Cd: 0.439 0.798 0.894
Cd: 0.439 0.202 0.106
Tm: 0.063 0.925 0.350
Cd: 0.939 0.606 0.298
Cd: 0.561 0.106 0.798
Tm: 0.437 0.425 0.850
Tm: 0.563 0.150 0.425
Tm: 0.937 0.350 0.075
Cd: 0.061 0.298 0.394
Tm: 0.063 0.075 0.650
Sm: 0.000 0.000 0.000
Tm: 0.937 0.650 0.925
Cd: 0.561 0.894 0.202
Cd: 0.939 0.394 0.702

Calculated values
The value obtained for the energy of formation from the pure elements is -0.1013 eV per atom. The total energy comes out at -3.020 eV/atom. The space-group type is P4_2/n.



(2)
## Sm2Tm3Cd4 (GGA-PBE)

Data for an optimized crystal structure of Sm2Tm3Cd4.

a b c (Å): 6.759 8.132 9.785
angles (deg): 90.00 110.21 90.00
Positions (direct):
Sm: 0.593 0.899 0.186
Cd: 0.825 0.250 0.149
Cd: 0.663 0.515 0.326
Tm: 0.504 0.750 0.509
Cd: 0.675 0.750 0.851
Cd: 0.175 0.750 0.851
Tm: 0.496 0.250 0.491
Tm: 0.500 0.500 0.000
Sm: 0.407 0.101 0.814
Tm: 0.000 0.000 0.000
Sm: 0.093 0.601 0.186
Tm: 0.004 0.750 0.509
Cd: 0.837 0.015 0.674
Cd: 0.325 0.250 0.149
Cd: 0.163 0.985 0.326
Cd: 0.337 0.485 0.674
Tm: 0.996 0.250 0.491
Sm: 0.907 0.399 0.814

Calculated values
The value obtained for the energy of formation from the pure elements is -0.1629 eV per atom. The total energy comes out at -3.109 eV/atom. The space-group type is Cmce.



(3)
## Sm2TmCd3 (GGA-PBE)

Data for an optimized crystal structure of Sm2TmCd3.

a b c (Å): 5.334 5.334 13.131
angles (deg): 90.00 90.00 120.00
Positions (direct):
Cd: 0.667 0.333 0.581
Sm: 0.667 0.333 0.830
Cd: 0.667 0.333 0.086
Cd: 0.333 0.667 0.419
Tm: 0.333 0.667 0.667
Cd: 0.000 0.000 0.254
Tm: 0.667 0.333 0.333
Sm: 0.333 0.667 0.170
Cd: 0.000 0.000 0.746
Sm: 0.000 0.000 0.000
Cd: 0.333 0.667 0.914
Sm: 0.000 0.000 0.500

Calculated values
The value obtained for the energy of formation from the pure elements is -0.3115 eV per atom. The total energy comes out at -3.087 eV/atom. The space-group type is P-3m1.



(4)
## Sm12Tm5Cd2 (GGA-PBE)

Data for an optimized crystal structure of Sm12Tm5Cd2.

a b c (Å): 9.205 9.026 8.457
angles (deg): 91.91 90.00 120.66
Positions (direct):
Sm: 0.180 0.750 0.333
Sm: 0.035 0.699 0.764
Sm: 0.570 0.750 0.333
Sm: 0.335 0.301 0.236
Sm: 0.442 0.884 0.672
Tm: 0.768 0.535 0.421
Tm: 0.696 0.391 0.015
Sm: 0.917 0.835 0.116
Tm: 0.232 0.465 0.579
Tm: 0.000 0.000 0.500
Cd: 0.329 0.000 0.000
Sm: 0.083 0.165 0.884
Sm: 0.820 0.250 0.667
Sm: 0.558 0.116 0.328
Sm: 0.430 0.250 0.667
Sm: 0.965 0.301 0.236
Tm: 0.304 0.609 0.985
Sm: 0.665 0.699 0.764
Cd: 0.671 0.000 0.000

Calculated values
The value obtained for the energy of formation from the pure elements is 0.0491 eV per atom. The total energy comes out at -4.204 eV/atom. The space-group type is C2/m.